Record 1
Density functional theory data (PBE) for a relaxed FeMoBr2 crystal.

Lattice parameters (Å, degrees): 3.2690 3.2690 6.4653 90.00 90.00 90.00
With the nearest neighbours (Å) after each atom.
Space group P4/mmm (No. 123)
Symmetry-distinct sites (fractional):
Fe 0.0000 0.0000 0.0000 [1 per cell]  8 Br 2.81
Mo 0.0000 0.0000 0.5000 [1 per cell]  8 Br 2.83
Br 0.5000 0.5000 0.2471 [2 per cell]  4 Fe 2.81, 4 Mo 2.83

- distance to the lowest polymorph of the same formula (kJ/mol of formula units) = 311
- DOS at the Fermi energy (states/eV/f.u.) = 4.2
- formation energy from raw total energies (eV per formula unit) = 3.42
- ρ (g cm⁻³) = 7.49
- crystal system = tetragonal
- size of the total moment (μB per cell) = 0.9

---

Record 2
Density functional theory data (PBE) for a relaxed FeMoBr2 crystal.

Lattice parameters (Å, degrees): 3.2243 4.1030 15.1343 90.00 90.00 90.00
With the nearest neighbours (Å) after each atom.
Space group Immm (No. 71)
Symmetry-distinct sites (fractional):
Fe 0.0000 0.0000 0.0000 [2 per cell]  4 Mo 2.61, 4 Br 2.92
Mo 0.0000 0.0000 0.5000 [2 per cell]  4 Fe 2.61, 4 Br 2.63
Br 0.0000 0.5000 0.1372 [4 per cell]  2 Mo 2.63, 2 Fe 2.92

- distance to the lowest polymorph of the same formula (kJ/mol of formula units) = 88
- DOS at the Fermi energy (states/eV/f.u.) = 4.1
- formation energy from raw total energies (eV per formula unit) = 1.11
- ρ (g cm⁻³) = 5.17
- crystal system = orthorhombic
- size of the total moment (μB per cell) = 4.9